Entry 1:
Entry from the Alexandria database: an optimized crystal structure of AlNi (PBEsol).

```
data_AlNi
_chemical_formula_sum 'Al1 Ni1'
_symmetry_space_group_name_H-M 'P m -3 m'
_symmetry_Int_Tables_number 221
_symmetry_space_group_name_Hall '-P 4 2 3'
_cell_length_a 2.859
_cell_length_b 2.859
_cell_length_c 2.859
_cell_angle_alpha 90.00
_cell_angle_beta 90.00
_cell_angle_gamma 90.00
loop_
_atom_site_label
_atom_site_type_symbol
_atom_site_fract_x
_atom_site_fract_y
_atom_site_fract_z
Al1 Al 0.000 0.000 0.000
Ni1 Ni 0.500 0.500 0.500
```

Calculated values
The formation energy comes out at -675 meV per atom.


Entry 2:
Entry from the Alexandria database: an optimized crystal structure of MgSb2F (PBEsol).

```
data_MgSb2F
_chemical_formula_sum 'Mg4 Sb8 F4'
_symmetry_space_group_name_H-M 'F m -3 m'
_symmetry_Int_Tables_number 225
_symmetry_space_group_name_Hall '-F 4 2 3'
_cell_length_a 6.810
_cell_length_b 6.810
_cell_length_c 6.810
_cell_angle_alpha 90.00
_cell_angle_beta 90.00
_cell_angle_gamma 90.00
loop_
_atom_site_label
_atom_site_type_symbol
_atom_site_fract_x
_atom_site_fract_y
_atom_site_fract_z
Mg1 Mg 0.000 0.000 0.000
Sb1 Sb 0.250 0.250 0.250
F1 F 0.000 0.000 0.500
```

Calculated values
The value obtained for the formation energy from raw total energies is -0.593 eV per atom.


| no. | total magnetization (μB per cell) |
| --- | --- |
| 1 | 0.000 |
| 2 | 0.001 |